First-principles (PBE-GGA) data for Tb2TmHg after structural relaxation, as listed in the Alexandria database.

Summary:
ΔH_f (0 K)   -48 kJ/mol of formula units
Relative energy among the computed polymorphs   101.1 meV per atom
Fermi-level density of states   1.26 states/eV per atom
Magnetic moment   0.00 μB per cell
Energy   -14.534 eV per formula unit

a b c (Å): 5.422 5.422 3.804
angles (deg): 90.00 90.00 90.00
Element x y z (fractional)
Tb  0.000  0.500  0.000
Tb  0.500  0.000  0.000
Tm  0.000  0.000  0.500
Hg  0.500  0.500  0.500

First-principles (PBE-GGA) data for ErNbPb2O6 after structural relaxation, as listed in the Alexandria database.

Summary:
Fermi-level density of states   0.00 states/eV per atom
Magnetic moment   0.00 μB per cell
Energy   -74.525 eV per formula unit
Raw formation energy   -2.273 eV per atom

a b c (Å): 5.890 5.936 10.218
angles (deg): 90.00 125.12 90.00
Element x y z (fractional)
Er  0.000  0.000  0.000
Er  0.000  0.500  0.500
Nb  0.500  0.000  0.500
Nb  0.500  0.500  0.000
Pb  0.257  0.026  0.751
Pb  0.257  0.474  0.251
Pb  0.743  0.526  0.749
Pb  0.743  0.974  0.249
O  0.185  0.017  0.263
O  0.185  0.483  0.763
O  0.265  0.699  0.040
O  0.265  0.801  0.540
O  0.345  0.222  0.040
O  0.345  0.278  0.540
O  0.655  0.722  0.460
O  0.655  0.778  0.960
O  0.735  0.199  0.460
O  0.735  0.301  0.960
O  0.815  0.517  0.237
O  0.815  0.983  0.737

First-principles (PBE-GGA) data for HgOs2 after structural relaxation, as listed in the Alexandria database.

Summary:
ΔH_f (0 K)   172 kJ/mol of formula units
Relative energy among the computed polymorphs   200.3 meV per atom
Fermi-level density of states   0.78 states/eV per atom
Magnetic moment   0.00 μB per cell
Energy   -20.975 eV per formula unit

a b c (Å): 2.836 2.836 14.073
angles (deg): 90.00 90.00 120.00
Element x y z (fractional)
Hg  0.000  0.000  0.175
Hg  0.000  0.000  0.825
Os  0.000  0.000  0.500
Os  0.667  0.333  0.000
Os  0.667  0.333  0.353
Os  0.667  0.333  0.647

First-principles (PBE-GGA) data for Nd8Zn2Co after structural relaxation, as listed in the Alexandria database.

Summary:
ΔH_f (0 K)   -84 kJ/mol of formula units
Relative energy among the computed polymorphs   0.0 meV per atom
Fermi-level density of states   1.00 states/eV per atom
Magnetic moment   0.00 μB per cell
Energy   -48.664 eV per formula unit

a b c (Å): 9.344 9.344 6.862
angles (deg): 100.43 100.43 32.43
Element x y z (fractional)
Nd  0.026  0.026  0.282
Nd  0.202  0.202  0.814
Nd  0.347  0.347  0.541
Nd  0.411  0.411  0.063
Nd  0.589  0.589  0.937
Nd  0.653  0.653  0.459
Nd  0.798  0.798  0.186
Nd  0.974  0.974  0.718
Zn  0.195  0.195  0.245
Zn  0.805  0.805  0.755
Co  0.500  0.500  0.500

First-principles (PBE-GGA) data for Li2LaZn6 after structural relaxation, as listed in the Alexandria database.

Summary:
ΔH_f (0 K)   202 kJ/mol of formula units
Relative energy among the computed polymorphs   357.7 meV per atom
Fermi-level density of states   0.64 states/eV per atom
Magnetic moment   0.00 μB per cell
Energy   -14.308 eV per formula unit

a b c (Å): 8.102 8.102 8.102
angles (deg): 60.00 60.00 60.00
Element x y z (fractional)
Li  0.000  0.000  0.000
Li  0.000  0.000  0.500
Li  0.000  0.500  0.000
Li  0.500  0.000  0.000
La  0.375  0.375  0.375
La  0.625  0.625  0.625
Zn  0.113  0.113  0.637
Zn  0.113  0.637  0.113
Zn  0.113  0.637  0.637
Zn  0.363  0.363  0.887
Zn  0.363  0.887  0.363
Zn  0.363  0.887  0.887
Zn  0.637  0.113  0.113
Zn  0.637  0.113  0.637
Zn  0.637  0.637  0.113
Zn  0.887  0.363  0.363
Zn  0.887  0.363  0.887
Zn  0.887  0.887  0.363

First-principles (PBE-GGA) data for PmDy2Tl3S6 after structural relaxation, as listed in the Alexandria database.

Summary:
Fermi-level density of states   0.00 states/eV per atom
Magnetic moment   0.00 μB per cell
Energy   -63.586 eV per formula unit
Raw formation energy   -1.481 eV per atom

a b c (Å): 7.051 7.051 7.873
angles (deg): 98.58 98.58 120.00
Element x y z (fractional)
Pm  0.000  0.000  0.000
Dy  0.333  0.667  0.000
Dy  0.667  0.333  0.000
Tl  0.166  0.834  0.500
Tl  0.500  0.500  0.500
Tl  0.834  0.166  0.500
S  0.067  0.407  0.200
S  0.274  0.274  0.802
S  0.407  0.067  0.200
S  0.593  0.933  0.800
S  0.726  0.726  0.198
S  0.933  0.593  0.800

First-principles (PBE-GGA) data for Sc2TaSb after structural relaxation, as listed in the Alexandria database.

Summary:
Fermi-level density of states   1.07 states/eV per atom
Magnetic moment   0.29 μB per cell
Energy   -28.444 eV per formula unit
Raw formation energy   0.049 eV per atom

a b c (Å): 3.168 3.168 8.900
angles (deg): 90.00 90.00 90.00
Element x y z (fractional)
Sc  0.000  0.000  0.000
Sc  0.500  0.500  0.287
Ta  0.000  0.000  0.526
Sb  0.500  0.500  0.752

First-principles (PBE-GGA) data for CoBiAs2I after structural relaxation, as listed in the Alexandria database.

Summary:
Fermi-level density of states   1.53 states/eV per atom
Magnetic moment   3.35 μB per cell
Energy   -14.600 eV per formula unit
Raw formation energy   1.447 eV per atom

a b c (Å): 5.476 5.476 6.126
angles (deg): 90.00 90.00 90.00
Element x y z (fractional)
Co  0.000  0.000  0.000
Bi  0.500  0.500  0.500
As  0.000  0.500  0.500
As  0.500  0.000  0.500
I  0.500  0.500  0.000